(1)
This record from Alexandria via LeMat-Bulk describes crystalline HfAlH at its relaxed geometry. The functional is PBE.

Density in g/cm³: 8.55
Energy above the lowest structure with this stoichiometry in meV/atom: 12

Cell lengths 3.160, 3.160, 8.036 Å; angles 90.00, 90.00, 90.00 degrees
Space group P4/nmm (No. 129, origin choice 2)
Inequivalent atoms, fractional coordinates:
1 Hf 0.250 0.250 0.170
2 Al 0.250 0.250 0.603
3 H 0.250 0.750 0.000

---

(2)
This record from Alexandria via LeMat-Bulk describes crystalline Li2CaPbSe at its relaxed geometry. The functional is PBE.

Density in g/cm³: 4.22
ΔE_f (raw) in eV/atom: -0.70

Cell lengths 4.866, 4.866, 5.654 Å; angles 90.00, 90.00, 90.00 degrees
Space group P4/mmm (No. 123)
Inequivalent atoms, fractional coordinates:
1 Li 0.000 0.500 0.000
2 Ca 0.000 0.000 0.500
3 Pb 0.500 0.500 0.500
4 Se 0.000 0.000 0.000

---

(3)
This record from Alexandria via LeMat-Bulk describes crystalline DyCd3Pb at its relaxed geometry. The functional is PBE.

ΔE_f in meV/atom: -257
Density in g/cm³: 9.53

Cell lengths 4.492, 4.526, 12.307 Å; angles 90.00, 100.22, 90.00 degrees
Space group P2/m (No. 10)
Inequivalent atoms, fractional coordinates:
1 Dy 0.101 0.000 0.205
2 Cd 0.000 0.500 0.000
3 Cd 0.203 0.500 0.407
4 Cd 0.294 0.000 0.587
5 Cd 0.500 0.000 0.000
6 Pb 0.401 0.500 0.799

---

(4)
This record from Alexandria via LeMat-Bulk describes crystalline LaMgSc2 at its relaxed geometry. The functional is PBE.

ΔE_f in meV/atom: 57
Density in g/cm³: 3.90

Cell lengths 3.699, 5.357, 10.874 Å; angles 90.00, 90.00, 90.00 degrees
Space group Imm2 (No. 44)
Inequivalent atoms, fractional coordinates:
1 La 0.000 0.000 0.000
2 Mg 0.000 0.500 0.757
3 Sc 0.000 0.000 0.486
4 Sc 0.000 0.500 0.235

---

(5)
This record from Alexandria via LeMat-Bulk describes crystalline InHg3 at its relaxed geometry. The functional is PBE.

ΔE_f in meV/atom: 22
Density in g/cm³: 10.85

Cell lengths 3.804, 5.094, 11.322 Å; angles 90.00, 90.00, 90.00 degrees
Space group C222 (No. 21)
Inequivalent atoms, fractional coordinates:
1 In 0.000 0.000 0.000
2 Hg 0.000 0.500 0.500
3 Hg 0.250 0.250 0.748

---

(6)
This record from Alexandria via LeMat-Bulk describes crystalline Pr6BiTe2Se3 at its relaxed geometry. The functional is PBE.

Density in g/cm³: 7.01
ΔE_f (raw) in eV/atom: -1.57

Cell lengths 19.329, 4.391, 8.905 Å; angles 90.00, 104.07, 90.00 degrees
Space group C2/m (No. 12)
Inequivalent atoms, fractional coordinates:
1 Pr 0.006 0.000 0.237
2 Pr 0.160 0.500 0.099
3 Pr 0.172 0.500 0.565
4 Bi 0.000 0.500 0.500
5 Te 0.168 0.000 0.834
6 Se 0.000 0.500 0.000
7 Se 0.167 0.000 0.332

---

(7)
This record from Alexandria via LeMat-Bulk describes crystalline ThHRu at its relaxed geometry. The functional is PBE.

Density in g/cm³: 11.17
Energy above the lowest structure with this stoichiometry in meV/atom: 43

Cell lengths 4.734, 6.003, 10.767 Å; angles 96.04, 101.59, 90.51 degrees
Space group P-1 (No. 2)
Inequivalent atoms, fractional coordinates:
1 Th 0.000 0.000 0.000
2 Th 0.147 0.777 0.298
3 Th 0.334 0.707 0.634
4 Th 0.500 0.500 0.000
5 H 0.036 0.450 0.095
6 H 0.055 0.375 0.545
7 H 0.355 0.133 0.694
8 Ru 0.090 0.296 0.226
9 Ru 0.279 0.169 0.510
10 Ru 0.440 0.075 0.868

---

(8)
This record from Alexandria via LeMat-Bulk describes crystalline LaZn3H at its relaxed geometry. The functional is PBE.

Final energy in hartree per atom: -0.0834
Density in g/cm³: 6.14

Cell lengths 4.496, 4.496, 4.496 Å; angles 90.00, 90.00, 90.00 degrees
Space group Pm-3m (No. 221)
Inequivalent atoms, fractional coordinates:
1 La 0.000 0.000 0.000
2 Zn 0.000 0.500 0.500
3 H 0.500 0.500 0.500